(1)
# PBE TbNdTc, relaxed
# Spin magnetization ... 0.0 μB/f.u.
# E above lowest polymorph ... 0 meV/atom
# E_form ... 0.02 eV/atom
# Volume ... 335.82 Å³/cell
# Density of states at the Fermi level ... 3.1 states/eV/f.u.
data_TbNdTc
_symmetry_space_group_name_H-M 'C m c m'
_symmetry_Int_Tables_number 63
_symmetry_space_group_name_Hall '-C 2c 2'
_cell_length_a 4.495
_cell_length_b 18.658
_cell_length_c 4.004
_cell_angle_alpha 90.00
_cell_angle_beta 90.00
_cell_angle_gamma 90.00
loop_
_atom_site_label
_atom_site_type_symbol
_atom_site_fract_x
_atom_site_fract_y
_atom_site_fract_z
Tb1 Tb 0.000 0.080 0.250
Nd1 Nd 0.000 0.305 0.250
Tc1 Tc 0.000 0.465 0.250

(2)
# PBE TbNdTc, relaxed
# Spin magnetization ... 0.0 μB/f.u.
# E above lowest polymorph ... 30 meV/atom
# E_form ... 0.05 eV/atom
# Volume ... 159.47 Å³/cell
# Density of states at the Fermi level ... 4.0 states/eV/f.u.
data_TbNdTc
_symmetry_space_group_name_H-M 'I 4 m m'
_symmetry_Int_Tables_number 107
_symmetry_space_group_name_Hall 'I 4 -2'
_cell_length_a 3.508
_cell_length_b 3.508
_cell_length_c 12.958
_cell_angle_alpha 90.00
_cell_angle_beta 90.00
_cell_angle_gamma 90.00
loop_
_atom_site_label
_atom_site_type_symbol
_atom_site_fract_x
_atom_site_fract_y
_atom_site_fract_z
Tb1 Tb 0.000 0.000 0.000
Nd1 Nd 0.000 0.000 0.743
Tc1 Tc 0.000 0.000 0.376

(3)
# PBE TbNdThTc, relaxed
# Spin magnetization ... 0.0 μB/f.u.
# E_form ... 0.14 eV/atom
# Volume ... 360.22 Å³/cell
# Density of states at the Fermi level ... 5.0 states/eV/f.u.
data_TbNdThTc
_symmetry_space_group_name_H-M 'R 3 m'
_symmetry_Int_Tables_number 160
_symmetry_space_group_name_Hall 'R 3 -2"'
_cell_length_a 4.6271
_cell_length_b 4.6271
_cell_length_c 19.4230
_cell_angle_alpha 90.00
_cell_angle_beta 90.00
_cell_angle_gamma 120.00
loop_
_atom_site_label
_atom_site_type_symbol
_atom_site_fract_x
_atom_site_fract_y
_atom_site_fract_z
Tb1 Tb 0.0000 0.0000 0.0000
Nd1 Nd 0.0000 0.0000 0.7865
Th1 Th 0.0000 0.0000 0.2297
Tc1 Tc 0.0000 0.0000 0.5861

> density of states at the Fermi level of number 1 (TbNdTc)?

3.1 states/eV/f.u.